A relaxed SrFeSe2 crystal, computed with PBE-GGA.

Values from the calculation:
Energy above the most stable polymorph in this dataset ... 918 meV/atom
Final energy ... -0.1551 Ha/atom
Formation energy without anion corrections ... 22 kJ/mol of formula units

abc: 7.1725 7.1725 7.1725
angles: 90.00 90.00 90.00
Fractional coordinates of all 16 atoms:
Sr1 0.0000 0.0000 0.0000
Sr2 0.0000 0.5000 0.5000
Sr3 0.5000 0.0000 0.5000
Sr4 0.5000 0.5000 0.0000
Fe1 0.2500 0.2500 0.2500
Fe2 0.2500 0.7500 0.7500
Fe3 0.7500 0.2500 0.7500
Fe4 0.7500 0.7500 0.2500
Se1 0.0000 0.0000 0.5000
Se2 0.0000 0.5000 0.0000
Se3 0.2500 0.2500 0.7500
Se4 0.2500 0.7500 0.2500
Se5 0.5000 0.0000 0.0000
Se6 0.5000 0.5000 0.5000
Se7 0.7500 0.2500 0.2500
Se8 0.7500 0.7500 0.7500

=====

A relaxed EuYBiPd crystal, computed with PBE-GGA.

Values from the calculation:
Final energy ... -0.2628 Ha/atom
Energy of formation ... -698.8 meV per atom

abc: 7.5294 7.5294 7.5294
angles: 90.00 90.00 90.00
Fractional coordinates of all 16 atoms:
Eu1 0.0000 0.0000 0.0000
Eu2 0.0000 0.5000 0.5000
Eu3 0.5000 0.0000 0.5000
Eu4 0.5000 0.5000 0.0000
Y1 0.0000 0.0000 0.5000
Y2 0.0000 0.5000 0.0000
Y3 0.5000 0.0000 0.0000
Y4 0.5000 0.5000 0.5000
Bi1 0.2500 0.2500 0.7500
Bi2 0.2500 0.7500 0.2500
Bi3 0.7500 0.2500 0.2500
Bi4 0.7500 0.7500 0.7500
Pd1 0.2500 0.2500 0.2500
Pd2 0.2500 0.7500 0.7500
Pd3 0.7500 0.2500 0.7500
Pd4 0.7500 0.7500 0.2500

=====

A relaxed HgRuW2 crystal, computed with PBE-GGA.

Values from the calculation:
Energy above the most stable polymorph in this dataset ... 27 meV/atom
Final energy ... -0.3098 Ha/atom
Energy of formation ... 439.6 meV per atom

abc: 3.2206 4.5680 9.2056
angles: 90.00 90.00 90.00
Fractional coordinates of all 8 atoms:
Hg1 0.0000 0.0000 0.0000
Hg2 0.5000 0.5000 0.0000
Ru1 0.0000 0.5000 0.7346
Ru2 0.5000 0.0000 0.7346
W1 0.0000 0.0000 0.5113
W2 0.0000 0.5000 0.2748
W3 0.5000 0.0000 0.2748
W4 0.5000 0.5000 0.5113

=====

A relaxed TcTe2AsI crystal, computed with PBE-GGA.

Values from the calculation:
Energy above the most stable polymorph in this dataset ... 398 meV/atom
Final energy ... -0.1270 Ha/atom
Formation energy without anion corrections ... 538 kJ/mol of formula units

abc: 5.5137 5.5137 5.4538
angles: 90.00 90.00 90.00
Fractional coordinates of all 5 atoms:
Tc1 0.0000 0.0000 0.0000
Te1 0.0000 0.5000 0.5000
Te2 0.5000 0.0000 0.5000
As1 0.5000 0.5000 0.5000
I1 0.5000 0.5000 0.0000